No. 1
Computed, not measured: Be2V5Co12 after structural relaxation at the PBE level of DFT. Values from VASP.

Quantum ESPRESSO input file:
```
&SYSTEM
  ibrav = 0, nat = 19, ntyp = 3
/
ATOMIC_SPECIES
Be 9.01 Be.upf
V 50.94 V.upf
Co 58.93 Co.upf
ATOMIC_POSITIONS angstrom
Be 5.472 1.744 0.000
Be 5.472 -1.744 0.000
V 1.765 0.000 5.367
V 2.700 0.000 2.390
V 5.366 0.000 2.859
V 8.032 0.000 3.328
V 8.966 0.000 0.351
Co 0.566 0.000 1.502
Co 4.248 2.022 2.150
Co 3.540 1.229 4.333
Co 6.483 2.022 3.568
Co 4.246 0.000 0.644
Co 7.191 1.229 1.386
Co 3.540 -1.229 4.333
Co 6.486 0.000 5.074
Co 4.248 -2.022 2.150
Co 7.191 -1.229 1.386
Co 6.483 -2.022 3.568
Co 10.166 0.000 4.216
CELL_PARAMETERS angstrom
5.472 -3.358 0.000
5.472 3.358 0.000
-0.213 0.000 5.718
```

=====

No. 2
Computed, not measured: Be2VCo after structural relaxation at the PBE level of DFT. Values from VASP.

**Energy above the lowest structure with this stoichiometry**: 0 meV/atom

Quantum ESPRESSO input file:
```
&SYSTEM
  ibrav = 0, nat = 4, ntyp = 3
/
ATOMIC_SPECIES
Be 9.01 Be.upf
V 50.94 V.upf
Co 58.93 Co.upf
ATOMIC_POSITIONS angstrom
Be 0.000 0.000 1.187
Be 0.000 0.000 4.552
V 1.303 1.303 2.870
Co 1.303 1.303 0.000
CELL_PARAMETERS angstrom
2.606 0.000 0.000
0.000 2.606 0.000
0.000 0.000 5.740
```

=====

No. 3
Computed, not measured: BeVCo3 after structural relaxation at the PBE level of DFT. Values from VASP.

**Energy above the lowest structure with this stoichiometry**: 0 meV/atom

Quantum ESPRESSO input file:
```
&SYSTEM
  ibrav = 0, nat = 10, ntyp = 3
/
ATOMIC_SPECIES
Be 9.01 Be.upf
V 50.94 V.upf
Co 58.93 Co.upf
ATOMIC_POSITIONS angstrom
Be 0.000 0.000 0.000
Be 0.000 0.000 2.067
V 0.000 3.136 1.034
V 2.716 1.568 3.101
Co 0.000 1.767 3.101
Co -1.186 3.821 3.101
Co 1.531 0.884 1.034
Co 1.186 3.821 3.101
Co 3.902 0.884 1.034
Co 2.716 2.937 1.034
CELL_PARAMETERS angstrom
5.432 0.000 0.000
-2.716 4.704 0.000
0.000 0.000 4.135
```

=====

No. 4
Computed, not measured: BeVCo2 after structural relaxation at the PBE level of DFT. Values from VASP.

**Energy above the lowest structure with this stoichiometry**: 0 meV/atom

Quantum ESPRESSO input file:
```
&SYSTEM
  ibrav = 0, nat = 16, ntyp = 3
/
ATOMIC_SPECIES
Be 9.01 Be.upf
V 50.94 V.upf
Co 58.93 Co.upf
ATOMIC_POSITIONS angstrom
Be 0.000 0.000 0.000
Be 0.000 2.745 2.745
Be 2.745 0.000 2.745
Be 2.745 2.745 0.000
V 0.000 0.000 2.745
V 0.000 2.745 0.000
V 2.745 0.000 0.000
V 2.745 2.745 2.745
Co 1.373 1.373 1.373
Co 1.373 1.373 4.118
Co 1.373 4.118 1.373
Co 1.373 4.118 4.118
Co 4.118 1.373 1.373
Co 4.118 1.373 4.118
Co 4.118 4.118 1.373
Co 4.118 4.118 4.118
CELL_PARAMETERS angstrom
5.490 0.000 0.000
0.000 5.490 0.000
0.000 0.000 5.490
```

=====

The calculation returns the following ρ values, one per record and in order: 7.7 5.4 7.4 7.1 g/cm3.
The calculation returns the following E values, one per record and in order: -7.31 -6.12 -6.75 -7.06 eV/atom.
The calculation returns the following total magnetization values, one per record and in order: 0.713 0.000 0.372 0.006 μB/f.u..